VASP calculation (PBE) on Cu2Ni3Rh after structural relaxation.

It has space group Cmcm (No. 63), with a = 9.491 Å, b = 8.086 Å, c = 4.015 Å, α = 90.00°, β = 90.00° and γ = 90.00°. The inequivalent atoms are Cu at (0.123, 0.086, 0.250), Ni at (0.000, 0.437, 0.250), Ni at (0.232, 0.344, 0.250) and Rh at (0.000, 0.248, 0.750).

The value obtained for the excess energy over the best structure of this formula in the dataset is 305 meV per atom. The value obtained for the formation energy is 2.09 eV/f.u. The value obtained for the density of states at the Fermi level is 40.9 states/eV per cell.